# Be2CuBr | the Alexandria database | GGA-PBE | relaxed
# Calculated volume in Å³/atom: 16.493
# D(E_F) in states/eV/f.u.: 0.0
# Raw formation energy in eV per atom: 0.56
# Magnetic moment in Bohr magnetons per cell: 0.000
data_Be2CuBr
_chemical_formula_sum 'Be8 Cu4 Br4'
_symmetry_space_group_name_H-M 'I -4 2 d'
_symmetry_Int_Tables_number 122
_symmetry_space_group_name_Hall 'I -4 2bw'
_cell_length_a 5.683
_cell_length_b 5.683
_cell_length_c 8.172
_cell_angle_alpha 90.00
_cell_angle_beta 90.00
_cell_angle_gamma 90.00
loop_
_atom_site_label
_atom_site_type_symbol
_atom_site_fract_x
_atom_site_fract_y
_atom_site_fract_z
Be1 Be 0.231 0.250 0.125
Cu1 Cu 0.000 0.000 0.000
Br1 Br 0.000 0.000 0.500

=====

# InReOsBr2 | the Alexandria database | GGA-PBE | relaxed
# Calculated volume in Å³/atom: 33.575
# D(E_F) in states/eV/f.u.: 3.9
# Raw formation energy in eV per atom: 2.30
# Magnetic moment in Bohr magnetons per cell: 8.770
data_InReOsBr2
_chemical_formula_sum 'In1 Re1 Os1 Br2'
_symmetry_space_group_name_H-M 'P 4/m m m'
_symmetry_Int_Tables_number 123
_symmetry_space_group_name_Hall '-P 4 2'
_cell_length_a 5.472
_cell_length_b 5.472
_cell_length_c 5.607
_cell_angle_alpha 90.00
_cell_angle_beta 90.00
_cell_angle_gamma 90.00
loop_
_atom_site_label
_atom_site_type_symbol
_atom_site_fract_x
_atom_site_fract_y
_atom_site_fract_z
In1 In 0.000 0.000 0.000
Re1 Re 0.000 0.000 0.500
Os1 Os 0.500 0.500 0.500
Br1 Br 0.000 0.500 0.000

=====

# Pm2NpRu3 | the Alexandria database | GGA-PBE | relaxed
# Energy of formation in eV per atom: 0.120
# Calculated volume in Å³/atom: 21.766
# D(E_F) in states/eV/f.u.: 6.9
# Magnetic moment in Bohr magnetons per cell: 3.041
data_Pm2NpRu3
_chemical_formula_sum 'Pm4 Np2 Ru6'
_symmetry_space_group_name_H-M 'I m m m'
_symmetry_Int_Tables_number 71
_symmetry_space_group_name_Hall '-I 2 2'
_cell_length_a 3.312
_cell_length_b 5.673
_cell_length_c 13.903
_cell_angle_alpha 90.00
_cell_angle_beta 90.00
_cell_angle_gamma 90.00
loop_
_atom_site_label
_atom_site_type_symbol
_atom_site_fract_x
_atom_site_fract_y
_atom_site_fract_z
Pm1 Pm 0.000 0.000 0.167
Np1 Np 0.000 0.000 0.500
Ru1 Ru 0.000 0.500 0.141
Ru2 Ru 0.000 0.500 0.500

=====

# KBa14Ir | the Alexandria database | GGA-PBE | relaxed
# Energy of formation in eV per atom: 0.056
# Calculated volume in Å³/atom: 59.923
# D(E_F) in states/eV/f.u.: 22.1
# Magnetic moment in Bohr magnetons per cell: 0.001
data_KBa14Ir
_chemical_formula_sum 'K2 Ba28 Ir2'
_symmetry_space_group_name_H-M 'A m m 2'
_symmetry_Int_Tables_number 38
_cell_length_a 12.076
_cell_length_b 11.153
_cell_length_c 14.237
_cell_angle_alpha 90.00
_cell_angle_beta 90.00
_cell_angle_gamma 90.00
loop_
_symmetry_equiv_pos_as_xyz
'x,y,z'
'-x,-y,z'
'-x,y,z'
'x,-y,z'
'x,y+1/2,z+1/2'
'-x,-y+1/2,z+1/2'
'-x,y+1/2,z+1/2'
'x,-y+1/2,z+1/2'
loop_
_atom_site_label
_atom_site_type_symbol
_atom_site_fract_x
_atom_site_fract_y
_atom_site_fract_z
K1 K 0.000 0.000 0.000
Ba1 Ba 0.000 0.241 0.241
Ba2 Ba 0.183 0.179 0.505
Ba3 Ba 0.215 0.000 0.765
Ba4 Ba 0.267 0.000 0.221
Ba5 Ba 0.500 0.000 0.460
Ba6 Ba 0.500 0.000 0.984
Ba7 Ba 0.500 0.219 0.720
Ir1 Ir 0.000 0.000 0.631